Record 1
DFT (GGA-PBE) results for crystalline AsPbCl2 at its relaxed geometry.

Computed properties:
The calculation puts the raw formation energy at -0.061 eV/atom. The raw total energy comes out at -3.074 eV per atom. The energy above the most stable polymorph in this dataset is 375 meV/atom.

The structure in CIF format:
```
data_AsPbCl2
_cell_length_a 3.3846
_cell_length_b 3.3846
_cell_length_c 29.9378
_cell_angle_alpha 90.00
_cell_angle_beta 90.00
_cell_angle_gamma 120.00
_space_group_name_H-M_alt 'R -3 m'
_space_group_IT_number 166
_space_group_name_Hall '-R 3 2"'
loop_
_atom_site_label
_atom_site_type_symbol
_atom_site_fract_x
_atom_site_fract_y
_atom_site_fract_z
_atom_site_occupancy
As1 As 0.0000 0.0000 0.0000 1
Pb1 Pb 0.0000 0.0000 0.5000 1
Cl1 Cl 0.0000 0.0000 0.4053 1
```

---

Record 2
DFT (GGA-PBE) results for crystalline AsPb2Cl at its relaxed geometry.

Computed properties:
The calculation puts the raw formation energy at -0.275 eV/atom. The raw total energy comes out at -3.753 eV per atom. The energy above the most stable polymorph in this dataset is 200 meV/atom.

The structure in CIF format:
```
data_AsPb2Cl
_cell_length_a 3.373
_cell_length_b 5.888
_cell_length_c 5.750
_cell_angle_alpha 90.00
_cell_angle_beta 93.39
_cell_angle_gamma 90.00
_space_group_name_H-M_alt 'P 1 m 1'
_space_group_IT_number 6
_space_group_name_Hall 'P -2y'
loop_
_atom_site_label
_atom_site_type_symbol
_atom_site_fract_x
_atom_site_fract_y
_atom_site_fract_z
_atom_site_occupancy
As1 As 0.000 0.000 0.000 1
Pb1 Pb 0.421 0.000 0.547 1
Pb2 Pb 0.725 0.500 0.024 1
Cl1 Cl 0.488 0.500 0.523 1
```

---

Record 3
DFT (GGA-PBE) results for crystalline Pm3AsPbCl at its relaxed geometry.

Computed properties:
The calculation puts the raw formation energy at -1.097 eV/atom. The raw total energy comes out at -5.174 eV per atom.

The structure in CIF format:
```
data_Pm3AsPbCl
_cell_length_a 7.902
_cell_length_b 4.570
_cell_length_c 10.093
_cell_angle_alpha 90.00
_cell_angle_beta 109.85
_cell_angle_gamma 90.00
_space_group_name_H-M_alt 'P 1 21/m 1'
_space_group_IT_number 11
_space_group_name_Hall '-P 2yb'
loop_
_atom_site_label
_atom_site_type_symbol
_atom_site_fract_x
_atom_site_fract_y
_atom_site_fract_z
_atom_site_occupancy
Pm1 Pm 0.032 0.250 0.342 1
Pm2 Pm 0.214 0.250 0.981 1
Pm3 Pm 0.435 0.750 0.632 1
As1 As 0.201 0.250 0.639 1
Pb1 Pb 0.240 0.750 0.226 1
Cl1 Cl 0.372 0.750 0.901 1
```

---

Record 4
DFT (GGA-PBE) results for crystalline RbAsPb2Cl8 at its relaxed geometry.

Computed properties:
The calculation puts the raw formation energy at -1.090 eV/atom. The raw total energy comes out at -3.408 eV per atom.

The structure in CIF format:
```
data_RbAsPb2Cl8
_cell_length_a 6.519
_cell_length_b 6.752
_cell_length_c 8.874
_cell_angle_alpha 89.99
_cell_angle_beta 89.93
_cell_angle_gamma 88.63
_space_group_name_H-M_alt 'P -1'
_space_group_IT_number 2
_space_group_name_Hall '-P 1'
loop_
_atom_site_label
_atom_site_type_symbol
_atom_site_fract_x
_atom_site_fract_y
_atom_site_fract_z
_atom_site_occupancy
Rb1 Rb 0.000 0.000 0.000 1
As1 As 0.000 0.000 0.500 1
Pb1 Pb 0.500 0.500 0.256 1
Cl1 Cl 0.225 0.843 0.700 1
Cl2 Cl 0.226 0.844 0.300 1
Cl3 Cl 0.232 0.301 0.500 1
Cl4 Cl 0.274 0.380 0.000 1
```

---

Record 5
DFT (GGA-PBE) results for crystalline RbAsPbCl6 at its relaxed geometry.

Computed properties:
The calculation puts the raw formation energy at -1.122 eV/atom. The raw total energy comes out at -3.390 eV per atom.

The structure in CIF format:
```
data_RbAsPbCl6
_cell_length_a 7.1668
_cell_length_b 7.1668
_cell_length_c 7.1357
_cell_angle_alpha 90.00
_cell_angle_beta 90.00
_cell_angle_gamma 120.00
_space_group_name_H-M_alt 'P 3 1 2'
_space_group_IT_number 149
_space_group_name_Hall 'P 3 2'
loop_
_atom_site_label
_atom_site_type_symbol
_atom_site_fract_x
_atom_site_fract_y
_atom_site_fract_z
_atom_site_occupancy
Rb1 Rb 0.0000 0.0000 0.0000 1
As1 As 0.6667 0.3333 0.5000 1
Pb1 Pb 0.3333 0.6667 0.5000 1
Cl1 Cl 0.3889 0.0412 0.7092 1
```

---

Record 6
DFT (GGA-PBE) results for crystalline Rb2AsPbCl6 at its relaxed geometry.

Computed properties:
The calculation puts the raw formation energy at -1.191 eV/atom. The raw total energy comes out at -3.328 eV per atom.

The structure in CIF format:
```
data_Rb2AsPbCl6
_cell_length_a 7.555
_cell_length_b 7.555
_cell_length_c 12.179
_cell_angle_alpha 90.00
_cell_angle_beta 90.00
_cell_angle_gamma 90.00
_space_group_name_H-M_alt 'I 4/m m m'
_space_group_IT_number 139
_space_group_name_Hall '-I 4 2'
loop_
_atom_site_label
_atom_site_type_symbol
_atom_site_fract_x
_atom_site_fract_y
_atom_site_fract_z
_atom_site_occupancy
Rb1 Rb 0.000 0.500 0.250 1
As1 As 0.000 0.000 0.000 1
Pb1 Pb 0.000 0.000 0.500 1
Cl1 Cl 0.000 0.000 0.268 1
Cl2 Cl 0.233 0.233 0.000 1
```